No. 1
Ba2RuRh | PBE | optimized geometry

Values from the calculation:
Size of the total moment: 1.32 μB/cell
SG: Cm, No. 8
Crystal system: monoclinic
E_tot: -5.051 eV/atom
E_form: 0.27 eV/f.u.

Lattice parameters (Å, degrees): 4.367 4.367 9.052 76.27 76.27 61.13
Sites, in units of the cell vectors:
Ru (0.195, 0.195, 0.376)
Ba (0.960, 0.960, 0.123)
Ba (0.792, 0.792, 0.627)
Rh (0.553, 0.553, 0.374)



No. 2
Ba2RuRh | PBE | optimized geometry

Values from the calculation:
Size of the total moment: 0.83 μB/cell
SG: C2/m, No. 12
Crystal system: monoclinic
E_tot: -4.368 eV/atom
E_form: 3.00 eV/f.u.

Lattice parameters (Å, degrees): 4.980 4.980 6.764 79.76 79.76 42.33
Sites, in units of the cell vectors:
Ru (0.250, 0.250, 0.250)
Ba (0.500, 0.500, 0.500)
Ba (0.000, 0.000, 0.000)
Rh (0.750, 0.750, 0.750)



No. 3
BaRu2Rh | PBE | optimized geometry

Values from the calculation:
Size of the total moment: 0.00 μB/cell
SG: Pmmm, No. 47
Crystal system: orthorhombic
E_tot: -6.318 eV/atom
E_form: 2.56 eV/f.u.

Lattice parameters (Å, degrees): 2.900 3.748 7.369 90.00 90.00 90.00
Sites, in units of the cell vectors:
Ba (0.500, 0.500, 0.250)
Rh (0.500, 0.500, 0.750)
Ru (0.000, 0.000, 0.580)
Ru (0.000, 0.000, 0.920)



No. 4
BaRuRh3 | PBE | optimized geometry

Values from the calculation:
Size of the total moment: 3.77 μB/cell
SG: Pm-3m, No. 221
Crystal system: cubic
E_tot: -4.336 eV/atom
E_form: 11.57 eV/f.u.

Lattice parameters (Å, degrees): 4.982 4.982 4.982 90.00 90.00 90.00
Sites, in units of the cell vectors:
Rh (0.000, 0.500, 0.000)
Rh (0.500, 0.000, 0.000)
Rh (0.000, 0.000, 0.500)
Ru (0.500, 0.500, 0.500)
Ba (0.000, 0.000, 0.000)



No. 5
Ba2Ru2Rh | PBE | optimized geometry

Values from the calculation:
Size of the total moment: 0.00 μB/cell
SG: P4/mbm, No. 127
Crystal system: tetragonal
E_tot: -5.506 eV/atom
E_form: 2.22 eV/f.u.

Lattice parameters (Å, degrees): 6.837 6.837 5.199 90.00 90.00 90.00
Sites, in units of the cell vectors:
Ba (0.313, 0.187, 0.500)
Ba (0.187, 0.687, 0.500)
Ba (0.813, 0.313, 0.500)
Ba (0.687, 0.813, 0.500)
Rh (0.500, 0.500, 0.000)
Rh (0.000, 0.000, 0.000)
Ru (0.120, 0.380, 0.000)
Ru (0.620, 0.120, 0.000)
Ru (0.880, 0.620, 0.000)
Ru (0.380, 0.880, 0.000)



No. 6
BaRu3Rh | PBE | optimized geometry

Values from the calculation:
Size of the total moment: 5.46 μB/cell
SG: Pm-3m, No. 221
Crystal system: cubic
E_tot: -4.528 eV/atom
E_form: 14.46 eV/f.u.

Lattice parameters (Å, degrees): 4.927 4.927 4.927 90.00 90.00 90.00
Sites, in units of the cell vectors:
Ba (0.000, 0.000, 0.000)
Ru (0.000, 0.000, 0.500)
Ru (0.000, 0.500, 0.000)
Ru (0.500, 0.000, 0.000)
Rh (0.500, 0.500, 0.500)